Record 1
The following is a DFT calculation (PBE-GGA) of an optimized crystal structure of DyY5ErSc2.

```
data_DyY5ErSc2
_chemical_formula_sum 'Dy4 Y20 Er4 Sc8'
_cell_length_a 5.6030
_cell_length_b 21.3410
_cell_length_c 9.3672
_cell_angle_alpha 90.00
_cell_angle_beta 90.00
_cell_angle_gamma 90.00
_symmetry_space_group_name_H-M 'C m c 21'
_symmetry_Int_Tables_number 36
_symmetry_space_group_name_Hall 'C 2c -2'
loop_
_atom_site_label
_atom_site_fract_x
_atom_site_fract_y
_atom_site_fract_z
_atom_site_occupancy
Dy1 0.0000 0.1839 0.0000 1
Y1 0.0000 0.0117 0.9944 1
Y2 0.0000 0.2640 0.3186 1
Y3 0.0000 0.3058 0.6982 1
Y4 0.0000 0.3884 0.0288 1
Y5 0.0000 0.4693 0.7303 1
Er1 0.0000 0.4011 0.4024 1
Sc1 0.0000 0.1130 0.3056 1
Sc2 0.0000 0.1333 0.6859 1
```

Output
Electronic total energy in eV per cell: -210.612
Spin magnetization in μB/cell: 0.00

***

Record 2
The following is a DFT calculation (PBE-GGA) of an optimized crystal structure of Ca2PaSe4.

```
data_Ca2PaSe4
_chemical_formula_sum 'Ca4 Pa2 Se8'
_cell_length_a 7.4154
_cell_length_b 12.6610
_cell_length_c 4.2316
_cell_angle_alpha 90.00
_cell_angle_beta 90.00
_cell_angle_gamma 90.00
_symmetry_space_group_name_H-M 'P b a m'
_symmetry_Int_Tables_number 55
_symmetry_space_group_name_Hall '-P 2 2ab'
loop_
_atom_site_label
_atom_site_fract_x
_atom_site_fract_y
_atom_site_fract_z
_atom_site_occupancy
Ca1 0.0917 0.1836 0.0000 1
Pa1 0.0000 0.5000 0.5000 1
Se1 0.1282 0.7114 0.5000 1
Se2 0.2471 0.9574 0.0000 1
```

Output
Uncorrected formation energy in kcal/mol of atoms: -38.974
Electronic total energy in eV per cell: -78.535
Spin magnetization in μB/cell: 2.00

***

Record 3
The following is a DFT calculation (PBE-GGA) of an optimized crystal structure of Zr3Sc2TaN6.

```
data_Zr3Sc2TaN6
_chemical_formula_sum 'Zr6 Sc4 Ta2 N12'
_cell_length_a 5.5536
_cell_length_b 9.6142
_cell_length_c 5.5664
_cell_angle_alpha 90.00
_cell_angle_beta 109.30
_cell_angle_gamma 90.00
_symmetry_space_group_name_H-M 'C 1 2/m 1'
_symmetry_Int_Tables_number 12
_symmetry_space_group_name_Hall '-C 2y'
loop_
_atom_site_label
_atom_site_fract_x
_atom_site_fract_y
_atom_site_fract_z
_atom_site_occupancy
Zr1 0.0000 0.0000 0.0000 1
Zr2 0.0000 0.3301 0.0000 1
Sc1 0.0000 0.1666 0.5000 1
Ta1 0.0000 0.5000 0.5000 1
N1 0.2438 0.3353 0.7369 1
N2 0.2486 0.5000 0.2563 1
```

Output
Uncorrected formation energy in kcal/mol of atoms: -38.752
Electronic total energy in eV per cell: -240.555
Spin magnetization in μB/cell: 0.00